A plane-wave DFT calculation with GGA-PBE was carried out for a relaxed Ho4PS2Cl crystal.

Computed properties:
* D(E_F): 2.5 states/eV/cell
* crystal system: monoclinic
* total magnetic moment: 0.00 μB per cell
* E_form (uncorrected): -167.1 kJ/mol of atoms

Cell lengths 6.794, 3.937, 6.842 Å; angles 90.00, 109.49, 90.00 degrees
Atoms (fractional coordinates):
Ho: 0.226 0.000 0.220
Ho: 0.243 0.500 0.770
Ho: 0.757 0.500 0.230
Ho: 0.774 0.000 0.780
P: 0.500 0.000 0.000
S: 0.000 0.000 0.500
S: 0.000 0.500 0.000
Cl: 0.500 0.500 0.500